BaMgAs | GGA-PBE | relaxed

## Properties
ρ (Mg/m³): 3.6
Calculated volume (Å³ per atom): 36.1
Total magnetization (μB per atom): 0.000
SG: F-43m (216)
VASP energy (eV/atom): -2.809
ΔH_f (0 K) (eV/atom): -0.0867

Structure (POSCAR):
```
BaMgAs
1.0
7.566 0.000 0.000
0.000 7.566 0.000
0.000 0.000 7.566
Ba Mg As
4 4 4
Direct
0.000 0.000 0.000
0.000 0.500 0.500
0.500 0.000 0.500
0.500 0.500 0.000
0.250 0.250 0.750
0.250 0.750 0.250
0.750 0.250 0.250
0.750 0.750 0.750
0.250 0.250 0.250
0.250 0.750 0.750
0.750 0.250 0.750
0.750 0.750 0.250
```